Entry 1:
MnInSn2Se5: optimized geometry, GGA-PBE.

Structure (POSCAR):
```
MnInSn2Se5
1.0
1.945 -9.849 0.000
1.945 9.849 0.000
0.000 0.000 13.211
Mn In Sn Se
2 2 4 10
direct
0.224 0.776 0.500 Mn
0.776 0.224 0.000 Mn
0.431 0.569 0.935 In
0.569 0.431 0.435 In
0.095 0.905 0.750 Sn
0.136 0.864 0.118 Sn
0.864 0.136 0.618 Sn
0.905 0.095 0.250 Sn
0.029 0.971 0.552 Se
0.283 0.717 0.126 Se
0.304 0.696 0.878 Se
0.353 0.647 0.473 Se
0.493 0.507 0.760 Se
0.507 0.493 0.260 Se
0.647 0.353 0.973 Se
0.696 0.304 0.378 Se
0.717 0.283 0.626 Se
0.971 0.029 0.052 Se
```

Output
space-group type: No. 36
N(E_F): 1.08 states/eV/f.u.
E: -4.568 eV per atom
magnetization: 8.00 μB/cell

---

Entry 2:
SmTh2Pa: optimized geometry, GGA-PBE.

Structure (POSCAR):
```
SmTh2Pa
1.0
3.502 0.000 0.000
0.000 3.502 0.000
0.000 0.000 9.965
Sm Th Pa
1 2 1
direct
0.000 0.000 0.000 Sm
0.500 0.500 0.263 Th
0.500 0.500 0.737 Th
0.000 0.000 0.500 Pa
```

Output
space-group type: No. 123
offset from the most stable computed form: 0.0 meV/atom
N(E_F): 6.23 states/eV/f.u.
E: -7.170 eV per atom
magnetization: 0.00 μB/cell
calculated formation energy: 0.09 eV per atom